[1]
Here is a relaxed structure of LiCaSc2Au4 from Alexandria via LeMat-Bulk. Energies are from GGA-PBE.

Values from the calculation:
**Calculated total energy**: -4.41 eV/atom
**Formation enthalpy at 0 K**: -0.6962 eV/atom

Lattice parameters (Å, degrees): 8.6249 8.6249 8.6249 32.01 32.01 32.01
With the nearest neighbours (Å) after each atom.
Fractional coordinates of all 8 atoms:
Li: 0.0000 0.0000 0.0000  8 Au 2.69-2.92
Ca: 0.5000 0.5000 0.5000  8 Au 3.08-3.09
Sc: 0.2579 0.2579 0.2579  7 Au 2.85-2.88
Sc: 0.7421 0.7421 0.7421  7 Au 2.85-2.88
Au: 0.1097 0.1097 0.1097  1 Li 2.69, 3 Sc 2.87
Au: 0.3739 0.3739 0.3739  4 Sc 2.85-2.88, 3 Li 2.92, 1 Ca 3.09
Au: 0.6261 0.6261 0.6261  4 Sc 2.85-2.88, 3 Li 2.92, 1 Ca 3.09
Au: 0.8903 0.8903 0.8903  1 Li 2.69, 3 Sc 2.87


[2]
Here is a relaxed structure of LiCaScAu from Alexandria via LeMat-Bulk. Energies are from GGA-PBE.

Values from the calculation:
**Calculated total energy**: -3.74 eV/atom
**Formation enthalpy at 0 K**: -0.3552 eV/atom

Lattice parameters (Å, degrees): 4.9834 4.9834 4.9834 60.00 60.00 60.00
With the nearest neighbours (Å) after each atom.
Fractional coordinates of all 4 atoms:
Li: 0.0000 0.0000 0.0000  4 Ca 3.05, 4 Sc 3.05
Ca: 0.2500 0.2500 0.2500  4 Li 3.05, 4 Au 3.05
Sc: 0.7500 0.7500 0.7500  4 Li 3.05, 4 Au 3.05
Au: 0.5000 0.5000 0.5000  4 Ca 3.05, 4 Sc 3.05


[3]
Here is a relaxed structure of LiCaAuSe2 from Alexandria via LeMat-Bulk. Energies are from GGA-PBE.

Values from the calculation:
**Calculated total energy**: -4.00 eV/atom
**E_form (uncorrected)**: -1.1670 eV/atom

Lattice parameters (Å, degrees): 7.0672 4.6264 7.5486 90.00 105.06 90.00
With the nearest neighbours (Å) after each atom.
Fractional coordinates of all 10 atoms:
Li: 0.0000 0.0196 0.2500  2 Se 2.66, 2 Au 2.92
Li: 0.0000 0.9804 0.7500  2 Se 2.66, 2 Au 2.92
Ca: 0.5000 0.3248 0.7500  6 Se 2.95-3.07
Ca: 0.5000 0.6752 0.2500  6 Se 2.95-3.07
Au: 0.0000 0.5000 0.0000  2 Se 2.45
Au: 0.0000 0.5000 0.5000  2 Se 2.45
Se: 0.2842 0.1852 0.0257  1 Au 2.45, 1 Li 2.66
Se: 0.2842 0.8148 0.5257  1 Au 2.45, 1 Li 2.66
Se: 0.7158 0.1852 0.4743  1 Au 2.45, 1 Li 2.66
Se: 0.7158 0.8148 0.9743  1 Au 2.45, 1 Li 2.66


[4]
Here is a relaxed structure of LiCa2SiAu6 from Alexandria via LeMat-Bulk. Energies are from GGA-PBE.

Values from the calculation:
**Calculated total energy**: -3.55 eV/atom
**E_form (uncorrected)**: -0.4522 eV/atom

Lattice parameters (Å, degrees): 5.6308 6.5900 7.0781 77.38 66.59 64.80
With the nearest neighbours (Å) after each atom.
Fractional coordinates of all 10 atoms:
Li: 0.0000 0.0000 0.0000  6 Au 2.59-2.60
Ca: 0.2642 0.2671 0.2061  7 Au 3.11-3.41
Ca: 0.7358 0.7329 0.7939  7 Au 3.11-3.41
Si: 0.5000 0.5000 0.5000  6 Au 2.48-2.53
Au: 0.2355 0.2698 0.7547  1 Si 2.52, 1 Li 2.60, 1 Au 2.79
Au: 0.2450 0.8880 0.6200  1 Si 2.48, 1 Li 2.59
Au: 0.2610 0.7300 0.2445  1 Si 2.53, 1 Li 2.60, 1 Au 2.79
Au: 0.7390 0.2700 0.7555  1 Si 2.53, 1 Li 2.60, 1 Au 2.79
Au: 0.7550 0.1120 0.3800  1 Si 2.48, 1 Li 2.59
Au: 0.7645 0.7302 0.2453  1 Si 2.52, 1 Li 2.60, 1 Au 2.79


Repeat the fourth record exactly.
Here is a relaxed structure of LiCa2SiAu6 from Alexandria via LeMat-Bulk. Energies are from GGA-PBE.

Values from the calculation:
**Calculated total energy**: -3.55 eV/atom
**E_form (uncorrected)**: -0.4522 eV/atom

Lattice parameters (Å, degrees): 5.6308 6.5900 7.0781 77.38 66.59 64.80
With the nearest neighbours (Å) after each atom.
Fractional coordinates of all 10 atoms:
Li: 0.0000 0.0000 0.0000  6 Au 2.59-2.60
Ca: 0.2642 0.2671 0.2061  7 Au 3.11-3.41
Ca: 0.7358 0.7329 0.7939  7 Au 3.11-3.41
Si: 0.5000 0.5000 0.5000  6 Au 2.48-2.53
Au: 0.2355 0.2698 0.7547  1 Si 2.52, 1 Li 2.60, 1 Au 2.79
Au: 0.2450 0.8880 0.6200  1 Si 2.48, 1 Li 2.59
Au: 0.2610 0.7300 0.2445  1 Si 2.53, 1 Li 2.60, 1 Au 2.79
Au: 0.7390 0.2700 0.7555  1 Si 2.53, 1 Li 2.60, 1 Au 2.79
Au: 0.7550 0.1120 0.3800  1 Si 2.48, 1 Li 2.59
Au: 0.7645 0.7302 0.2453  1 Si 2.52, 1 Li 2.60, 1 Au 2.79


Which of these has the highest calculated total energy?
LiCa2SiAu6